(1)
DFT (GGA-PBE) results for crystalline BaFeS2 at its relaxed geometry.

Summary:
final energy: -0.4143 Ry per atom
calculated volume: 471 Å³ per cell

Structure (CIF):
```
data_BaFeS2
_chemical_formula_sum 'Ba4 Fe4 S8'
_space_group_name_H-M_alt 'P 1'
_space_group_IT_number 1
_cell_length_a 6.003
_cell_length_b 12.415
_cell_length_c 6.367
_cell_angle_alpha 90.00
_cell_angle_beta 96.90
_cell_angle_gamma 90.00
loop_
_space_group_symop_operation_xyz
'x,y,z'
loop_
_atom_site_label
_atom_site_fract_x
_atom_site_fract_y
_atom_site_fract_z
_atom_site_occupancy
S1 0.635 0.119 0.289 1
S2 0.365 0.619 0.211 1
S3 0.910 0.661 0.566 1
S4 0.090 0.161 0.934 1
S5 0.635 0.381 0.789 1
S6 0.365 0.881 0.711 1
S7 0.090 0.339 0.434 1
S8 0.910 0.839 0.066 1
Ba1 0.558 0.121 0.772 1
Ba2 0.558 0.379 0.272 1
Ba3 0.442 0.879 0.228 1
Ba4 0.442 0.621 0.728 1
Fe1 0.969 0.189 0.252 1
Fe2 0.031 0.811 0.748 1
Fe3 0.969 0.311 0.752 1
Fe4 0.031 0.689 0.248 1
```



(2)
DFT (GGA-PBE) results for crystalline BaFeS2 at its relaxed geometry.

Summary:
final energy: -0.4218 Ry per atom
calculated volume: 407 Å³ per cell

Structure (CIF):
```
data_BaFeS2
_chemical_formula_sum 'Ba4 Fe4 S8'
_space_group_name_H-M_alt 'P 1'
_space_group_IT_number 1
_cell_length_a 4.161
_cell_length_b 13.745
_cell_length_c 7.109
_cell_angle_alpha 90.00
_cell_angle_beta 90.00
_cell_angle_gamma 90.00
loop_
_space_group_symop_operation_xyz
'x,y,z'
loop_
_atom_site_label
_atom_site_fract_x
_atom_site_fract_y
_atom_site_fract_z
_atom_site_occupancy
Ba1 0.000 0.614 0.536 1
Ba2 0.000 0.386 0.036 1
Ba3 0.000 0.093 0.298 1
Ba4 0.000 0.907 0.798 1
S1 0.500 0.514 0.807 1
S2 0.500 0.220 0.055 1
S3 0.500 0.486 0.307 1
S4 0.000 0.295 0.603 1
S5 0.500 0.937 0.123 1
S6 0.500 0.780 0.555 1
S7 0.500 0.063 0.623 1
S8 0.000 0.705 0.103 1
Fe1 0.500 0.216 0.737 1
Fe2 0.500 0.784 0.237 1
Fe3 0.500 0.386 0.585 1
Fe4 0.500 0.614 0.085 1
```



(3)
DFT (GGA-PBE) results for crystalline BaFeS2 at its relaxed geometry.

Summary:
final energy: -0.4134 Ry per atom
calculated volume: 98 Å³ per cell

Structure (CIF):
```
data_BaFeS2
_chemical_formula_sum 'Ba1 Fe1 S2'
_space_group_name_H-M_alt 'P 1'
_space_group_IT_number 1
_cell_length_a 4.710
_cell_length_b 4.764
_cell_length_c 4.349
_cell_angle_alpha 90.00
_cell_angle_beta 90.00
_cell_angle_gamma 90.00
loop_
_space_group_symop_operation_xyz
'x,y,z'
loop_
_atom_site_label
_atom_site_fract_x
_atom_site_fract_y
_atom_site_fract_z
_atom_site_occupancy
Fe1 0.500 0.500 0.874 1
Ba1 0.000 0.000 0.376 1
S1 0.000 0.500 0.870 1
S2 0.500 0.000 0.879 1
```



(4)
DFT (GGA-PBE) results for crystalline Ba7Fe6S14 at its relaxed geometry.

Summary:
final energy: -0.4228 Ry per atom
calculated volume: 1393 Å³ per cell

Structure (CIF):
```
data_Ba7Fe6S14
_chemical_formula_sum 'Ba14 Fe12 S28'
_space_group_name_H-M_alt 'P 1'
_space_group_IT_number 1
_cell_length_a 8.252
_cell_length_b 13.499
_cell_length_c 14.850
_cell_angle_alpha 105.81
_cell_angle_beta 106.13
_cell_angle_gamma 107.80
loop_
_space_group_symop_operation_xyz
'x,y,z'
loop_
_atom_site_label
_atom_site_fract_x
_atom_site_fract_y
_atom_site_fract_z
_atom_site_occupancy
S1 0.663 0.295 0.679 1
S2 0.946 0.384 0.211 1
S3 0.103 0.643 0.501 1
S4 0.189 0.205 0.821 1
S5 0.599 0.726 0.576 1
S6 0.811 0.795 0.179 1
S7 0.337 0.705 0.321 1
S8 0.401 0.274 0.424 1
S9 0.460 0.857 0.999 1
S10 0.130 0.171 0.569 1
S11 0.889 0.329 0.931 1
S12 0.111 0.671 0.069 1
S13 0.897 0.357 0.499 1
S14 0.601 0.437 0.049 1
S15 0.203 0.226 0.076 1
S16 0.149 0.884 0.711 1
S17 0.220 0.990 0.165 1
S18 0.540 0.143 0.001 1
S19 0.565 0.510 0.335 1
S20 0.616 0.063 0.451 1
S21 0.870 0.829 0.431 1
S22 0.399 0.563 0.951 1
S23 0.780 0.010 0.835 1
S24 0.851 0.116 0.289 1
S25 0.435 0.490 0.665 1
S26 0.384 0.937 0.549 1
S27 0.797 0.774 0.924 1
S28 0.054 0.616 0.789 1
Ba1 0.100 0.383 0.734 1
Ba2 0.851 0.054 0.075 1
Ba3 0.222 0.446 0.425 1
Ba4 0.157 0.012 0.375 1
Ba5 0.843 0.988 0.625 1
Ba6 0.270 0.488 0.125 1
Ba7 0.149 0.946 0.925 1
Ba8 0.778 0.554 0.575 1
Ba9 0.429 0.750 0.750 1
Ba10 0.730 0.512 0.875 1
Ba11 0.571 0.250 0.250 1
Ba12 0.484 0.117 0.766 1
Ba13 0.900 0.617 0.266 1
Ba14 0.516 0.883 0.234 1
Fe1 0.116 0.823 0.550 1
Fe2 0.884 0.177 0.450 1
Fe3 0.599 0.689 0.412 1
Fe4 0.357 0.756 0.486 1
Fe5 0.756 0.323 0.050 1
Fe6 0.244 0.677 0.950 1
Fe7 0.615 0.744 0.014 1
Fe8 0.997 0.811 0.088 1
Fe9 0.385 0.256 0.986 1
Fe10 0.003 0.189 0.912 1
Fe11 0.401 0.311 0.588 1
Fe12 0.643 0.244 0.514 1
```



(5)
DFT (GGA-PBE) results for crystalline Ba2FeSbS5 at its relaxed geometry.

Summary:
final energy: -0.3864 Ry per atom
calculated volume: 973 Å³ per cell

Structure (CIF):
```
data_Ba2FeSbS5
_chemical_formula_sum 'Ba8 Fe4 Sb4 S20'
_space_group_name_H-M_alt 'P 1'
_space_group_IT_number 1
_cell_length_a 12.172
_cell_length_b 8.881
_cell_length_c 9.002
_cell_angle_alpha 90.00
_cell_angle_beta 90.00
_cell_angle_gamma 90.00
loop_
_space_group_symop_operation_xyz
'x,y,z'
loop_
_atom_site_label
_atom_site_fract_x
_atom_site_fract_y
_atom_site_fract_z
_atom_site_occupancy
Ba1 0.677 0.507 0.622 1
Ba2 0.823 0.493 0.122 1
Ba3 0.177 0.507 0.878 1
Ba4 0.677 0.993 0.622 1
Ba5 0.177 0.993 0.878 1
Ba6 0.823 0.007 0.122 1
Ba7 0.323 0.007 0.378 1
Ba8 0.323 0.493 0.378 1
S1 0.446 0.549 0.821 1
S2 0.946 0.549 0.679 1
S3 0.711 0.250 0.883 1
S4 0.227 0.750 0.614 1
S5 0.006 0.750 0.032 1
S6 0.554 0.049 0.179 1
S7 0.506 0.750 0.468 1
S8 0.946 0.951 0.679 1
S9 0.273 0.250 0.114 1
S10 0.054 0.451 0.321 1
S11 0.446 0.951 0.821 1
S12 0.211 0.250 0.617 1
S13 0.773 0.250 0.386 1
S14 0.789 0.750 0.383 1
S15 0.994 0.250 0.968 1
S16 0.494 0.250 0.532 1
S17 0.289 0.750 0.117 1
S18 0.054 0.049 0.321 1
S19 0.727 0.750 0.886 1
S20 0.554 0.451 0.179 1
Fe1 0.405 0.750 0.671 1
Fe2 0.095 0.250 0.171 1
Fe3 0.905 0.750 0.829 1
Fe4 0.595 0.250 0.329 1
Sb1 0.479 0.750 0.018 1
Sb2 0.979 0.750 0.482 1
Sb3 0.521 0.250 0.982 1
Sb4 0.021 0.250 0.518 1
```



(6)
DFT (GGA-PBE) results for crystalline Ba3UFeS6 at its relaxed geometry.

Summary:
final energy: -0.4531 Ry per atom
calculated volume: 1694 Å³ per cell

Structure (CIF):
```
data_Ba3UFeS6
_chemical_formula_sum 'Ba18 U6 Fe6 S36'
_space_group_name_H-M_alt 'P 1'
_space_group_IT_number 1
_cell_length_a 12.129
_cell_length_b 12.129
_cell_length_c 13.298
_cell_angle_alpha 90.00
_cell_angle_beta 90.00
_cell_angle_gamma 120.00
loop_
_space_group_symop_operation_xyz
'x,y,z'
loop_
_atom_site_label
_atom_site_fract_x
_atom_site_fract_y
_atom_site_fract_z
_atom_site_occupancy
S1 0.359 0.515 0.051 1
S2 0.975 0.823 0.116 1
S3 0.308 0.818 0.283 1
S4 0.692 0.182 0.717 1
S5 0.515 0.359 0.449 1
S6 0.177 0.025 0.616 1
S7 0.818 0.308 0.217 1
S8 0.641 0.156 0.449 1
S9 0.182 0.490 0.283 1
S10 0.844 0.359 0.949 1
S11 0.849 0.025 0.116 1
S12 0.156 0.641 0.051 1
S13 0.485 0.844 0.051 1
S14 0.692 0.510 0.217 1
S15 0.515 0.156 0.949 1
S16 0.510 0.818 0.783 1
S17 0.849 0.823 0.616 1
S18 0.823 0.849 0.884 1
S19 0.818 0.510 0.717 1
S20 0.510 0.692 0.283 1
S21 0.975 0.151 0.616 1
S22 0.151 0.177 0.384 1
S23 0.156 0.515 0.551 1
S24 0.359 0.844 0.551 1
S25 0.490 0.308 0.717 1
S26 0.485 0.641 0.551 1
S27 0.025 0.849 0.384 1
S28 0.823 0.975 0.384 1
S29 0.177 0.151 0.116 1
S30 0.182 0.692 0.783 1
S31 0.844 0.485 0.449 1
S32 0.308 0.490 0.783 1
S33 0.490 0.182 0.217 1
S34 0.151 0.975 0.884 1
S35 0.025 0.177 0.884 1
S36 0.641 0.485 0.949 1
Ba1 0.288 0.954 0.083 1
Ba2 0.667 0.712 0.083 1
Ba3 0.621 0.621 0.750 1
Ba4 0.379 0.379 0.250 1
Ba5 0.667 0.954 0.583 1
Ba6 0.333 0.288 0.917 1
Ba7 0.046 0.333 0.083 1
Ba8 0.954 0.288 0.417 1
Ba9 0.000 0.621 0.250 1
Ba10 0.000 0.379 0.750 1
Ba11 0.379 0.000 0.750 1
Ba12 0.288 0.333 0.583 1
Ba13 0.621 0.000 0.250 1
Ba14 0.954 0.667 0.917 1
Ba15 0.333 0.046 0.417 1
Ba16 0.712 0.667 0.417 1
Ba17 0.046 0.712 0.583 1
Ba18 0.712 0.046 0.917 1
Fe1 0.000 0.000 0.000 1
Fe2 0.667 0.333 0.833 1
Fe3 0.333 0.667 0.167 1
Fe4 0.000 0.000 0.500 1
Fe5 0.667 0.333 0.333 1
Fe6 0.333 0.667 0.667 1
U1 0.333 0.667 0.417 1
U2 0.000 0.000 0.750 1
U3 0.667 0.333 0.083 1
U4 0.667 0.333 0.583 1
U5 0.333 0.667 0.917 1
U6 0.000 0.000 0.250 1
```



(7)
DFT (GGA-PBE) results for crystalline BaZnFeS3 at its relaxed geometry.

Summary:
final energy: -0.3581 Ry per atom
calculated volume: 260 Å³ per cell

Structure (CIF):
```
data_BaZnFeS3
_chemical_formula_sum 'Ba2 Zn2 Fe2 S6'
_space_group_name_H-M_alt 'P 1'
_space_group_IT_number 1
_cell_length_a 3.959
_cell_length_b 9.739
_cell_length_c 7.019
_cell_angle_alpha 90.00
_cell_angle_beta 106.38
_cell_angle_gamma 90.00
loop_
_space_group_symop_operation_xyz
'x,y,z'
loop_
_atom_site_label
_atom_site_fract_x
_atom_site_fract_y
_atom_site_fract_z
_atom_site_occupancy
S1 0.625 0.196 0.249 1
S2 0.375 0.696 0.751 1
S3 0.937 0.000 0.874 1
S4 0.063 0.500 0.126 1
S5 0.375 0.304 0.751 1
S6 0.625 0.804 0.249 1
Ba1 0.255 0.000 0.509 1
Ba2 0.745 0.500 0.491 1
Zn1 0.000 0.750 0.000 1
Zn2 0.000 0.250 0.000 1
Fe1 0.530 0.000 0.060 1
Fe2 0.470 0.500 0.940 1
```



(8)
DFT (GGA-PBE) results for crystalline BaFe4Sb12 at its relaxed geometry.

Summary:
final energy: -0.3793 Ry per atom
calculated volume: 393 Å³ per cell

Structure (CIF):
```
data_BaFe4Sb12
_chemical_formula_sum 'Ba1 Fe4 Sb12'
_space_group_name_H-M_alt 'P 1'
_space_group_IT_number 1
_cell_length_a 7.995
_cell_length_b 7.995
_cell_length_c 7.995
_cell_angle_alpha 109.47
_cell_angle_beta 109.47
_cell_angle_gamma 109.47
loop_
_space_group_symop_operation_xyz
'x,y,z'
loop_
_atom_site_label
_atom_site_fract_x
_atom_site_fract_y
_atom_site_fract_z
_atom_site_occupancy
Sb1 0.164 0.826 0.662 1
Sb2 0.826 0.662 0.164 1
Sb3 0.836 0.174 0.338 1
Sb4 0.174 0.338 0.836 1
Sb5 0.502 0.338 0.164 1
Sb6 0.164 0.502 0.338 1
Sb7 0.662 0.164 0.826 1
Sb8 0.662 0.836 0.498 1
Sb9 0.836 0.498 0.662 1
Sb10 0.498 0.662 0.836 1
Sb11 0.338 0.164 0.502 1
Sb12 0.338 0.836 0.174 1
Fe1 0.000 0.000 0.500 1
Fe2 0.000 0.500 0.000 1
Fe3 0.500 0.000 0.000 1
Fe4 0.500 0.500 0.500 1
Ba1 0.000 0.000 0.000 1
```